No. 1
Entry from OQMD via LeMat-Bulk: a relaxed structure of Dy2HoCu4Si2Sn2 (PBE).

Output
ρ: 8.402 g/cm3
relative energy among the computed polymorphs: 0 meV/atom
symmetry: Immm

Cell lengths 8.192, 8.192, 8.192 Å; angles 149.42, 132.38, 57.66 degrees
Atoms (fractional coordinates):
Cu 0.657 0.347 0.310
Cu 0.963 0.653 0.310
Cu 0.037 0.347 0.690
Cu 0.343 0.653 0.690
Dy 0.624 0.124 0.500
Dy 0.376 0.876 0.500
Ho 0.000 0.000 0.000
Si 0.682 0.500 0.182
Si 0.318 0.500 0.818
Sn 0.218 0.218 0.000
Sn 0.782 0.782 0.000

---

No. 2
Entry from OQMD via LeMat-Bulk: a relaxed structure of DyHo2Cu4Si2Sn2 (PBE).

Output
ρ: 8.433 g/cm3
relative energy among the computed polymorphs: 0 meV/atom
symmetry: Immm

Cell lengths 8.194, 8.194, 8.194 Å; angles 149.52, 132.33, 57.65 degrees
Atoms (fractional coordinates):
Cu 0.656 0.347 0.310
Cu 0.963 0.653 0.310
Cu 0.037 0.347 0.690
Cu 0.344 0.653 0.690
Dy 0.000 0.000 0.000
Ho 0.624 0.124 0.500
Ho 0.376 0.876 0.500
Si 0.681 0.500 0.181
Si 0.319 0.500 0.819
Sn 0.218 0.218 0.000
Sn 0.782 0.782 0.000

---

No. 3
Entry from OQMD via LeMat-Bulk: a relaxed structure of Dy2HoCu4Sn4 (PBE).

Output
raw total energy: -4.571 eV/atom
ρ: 8.920 g/cm3
symmetry: Immm

Cell lengths 8.420, 8.420, 8.420 Å; angles 149.32, 131.34, 58.63 degrees
Atoms (fractional coordinates):
Cu 0.641 0.329 0.312
Cu 0.982 0.671 0.312
Cu 0.018 0.329 0.688
Cu 0.359 0.671 0.688
Dy 0.631 0.131 0.500
Dy 0.369 0.869 0.500
Ho 0.000 0.000 0.000
Sn 0.216 0.216 0.000
Sn 0.784 0.784 0.000
Sn 0.703 0.500 0.203
Sn 0.297 0.500 0.797

---

No. 4
Entry from OQMD via LeMat-Bulk: a relaxed structure of DyHo2Cu4Sn4 (PBE).

Output
raw total energy: -4.564 eV/atom
ρ: 8.954 g/cm3
symmetry: Immm

Cell lengths 8.414, 8.414, 8.414 Å; angles 149.32, 131.31, 58.65 degrees
Atoms (fractional coordinates):
Cu 0.641 0.329 0.312
Cu 0.982 0.671 0.312
Cu 0.359 0.671 0.688
Cu 0.018 0.329 0.688
Dy 0.000 0.000 0.000
Ho 0.631 0.131 0.500
Ho 0.369 0.869 0.500
Sn 0.216 0.216 0.000
Sn 0.784 0.784 0.000
Sn 0.702 0.500 0.202
Sn 0.298 0.500 0.798

---

No. 5
Entry from OQMD via LeMat-Bulk: a relaxed structure of Dy2HoTm3CuTe2 (PBE).

Output
raw total energy: -4.775 eV/atom
ρ: 9.249 g/cm3
symmetry: Amm2

Cell lengths 3.916, 8.344, 8.344 Å; angles 119.98, 90.00, 90.00 degrees
Last column: magnetic moment on the atom in μB.
Atoms (fractional coordinates):
Cu 0.000 0.000 0.000  0.01
Dy 0.000 0.402 0.000  0.06
Dy 0.000 0.000 0.402  0.05
Ho 0.000 0.598 0.598  0.04
Te 0.500 0.667 0.333  0.00
Te 0.500 0.333 0.667  0.00
Tm 0.500 0.758 0.000  0.07
Tm 0.500 0.242 0.242  0.05
Tm 0.500 0.000 0.758  0.06

---

No. 6
Entry from OQMD via LeMat-Bulk: a relaxed structure of Dy3YHo2CuTe2 (PBE).

Output
raw total energy: -5.018 eV/atom
ρ: 8.454 g/cm3
symmetry: Amm2

Cell lengths 3.926, 8.408, 8.408 Å; angles 119.88, 90.00, 90.00 degrees
Atoms (fractional coordinates):
Cu 0.000 0.000 0.000
Dy 0.500 0.756 0.001
Dy 0.500 0.243 0.243
Dy 0.500 0.001 0.756
Ho 0.000 0.404 0.000
Ho 0.000 0.000 0.404
Te 0.500 0.667 0.333
Te 0.500 0.333 0.667
Y 0.000 0.596 0.596

---

No. 7
Entry from OQMD via LeMat-Bulk: a relaxed structure of DyHoTlCu2 (PBE).

Output
raw total energy: -4.118 eV/atom
ρ: 10.141 g/cm3
symmetry: Amm2

Cell lengths 3.616, 7.338, 7.338 Å; angles 33.65, 90.00, 90.00 degrees
Atoms (fractional coordinates):
Cu 0.500 0.203 0.203
Cu 0.500 0.797 0.797
Dy 0.000 0.365 0.365
Ho 0.000 0.635 0.635
Tl 0.500 0.000 0.000

---

No. 8
Entry from OQMD via LeMat-Bulk: a relaxed structure of DyCuI (PBE).

Output
raw total energy: -4.062 eV/atom
ρ: 6.650 g/cm3
symmetry: C2/m

Cell lengths 4.128, 4.128, 12.252 Å; angles 100.66, 100.66, 59.78 degrees
Atoms (fractional coordinates):
Cu 0.166 0.166 0.498
Cu 0.834 0.834 0.502
Dy 0.451 0.451 0.347
Dy 0.549 0.549 0.653
I 0.720 0.720 0.171
I 0.280 0.280 0.829

---

No. 9
Entry from OQMD via LeMat-Bulk: a relaxed structure of Dy3In3Cu2Ir (PBE).

Output
raw total energy: -4.734 eV/atom
ρ: 9.908 g/cm3
symmetry: P-62m

Cell lengths 7.494, 7.494, 3.967 Å; angles 90.00, 90.00, 120.00 degrees
Atoms (fractional coordinates):
Cu 0.667 0.333 0.000
Cu 0.333 0.667 0.000
Dy 0.600 0.000 0.500
Dy 0.400 0.400 0.500
Dy 0.000 0.600 0.500
In 0.263 0.000 0.000
In 0.000 0.263 0.000
In 0.737 0.737 0.000
Ir 0.000 0.000 0.500

---

No. 10
Entry from OQMD via LeMat-Bulk: a relaxed structure of DyY2In3CuIr2 (PBE).

Output
raw total energy: -5.870 eV/atom
ρ: 9.802 g/cm3
symmetry: Amm2

Cell lengths 3.822, 7.601, 7.601 Å; angles 119.65, 90.00, 90.00 degrees
Atoms (fractional coordinates):
Cu 0.000 0.999 0.999
Dy 0.000 0.586 0.586
In 0.500 0.745 0.001
In 0.500 0.254 0.254
In 0.500 0.001 0.745
Ir 0.500 0.666 0.336
Ir 0.500 0.336 0.666
Y 0.000 0.413 0.000
Y 0.000 0.000 0.413

---

No. 11
Entry from OQMD via LeMat-Bulk: a relaxed structure of Nd2DyIn3Cu2Ni (PBE).

Output
raw total energy: -4.345 eV/atom
ρ: 8.327 g/cm3
symmetry: Amm2

Cell lengths 3.981, 7.546, 7.546 Å; angles 120.33, 90.00, 90.00 degrees
Atoms (fractional coordinates):
Cu 0.500 0.664 0.339
Cu 0.500 0.339 0.664
Dy 0.000 0.593 0.593
In 0.500 0.250 0.250
In 0.500 0.997 0.751
In 0.500 0.751 0.997
Nd 0.000 0.410 0.001
Nd 0.000 0.001 0.410
Ni 0.000 0.995 0.995

---

No. 12
Entry from OQMD via LeMat-Bulk: a relaxed structure of Nd2DyIn3CuPt2 (PBE).

Output
raw total energy: -5.046 eV/atom
ρ: 10.206 g/cm3
symmetry: Amm2

Cell lengths 3.919, 7.731, 7.731 Å; angles 119.81, 90.00, 90.00 degrees
Atoms (fractional coordinates):
Cu 0.000 0.997 0.997
Dy 0.000 0.587 0.587
In 0.500 0.250 0.250
In 0.500 0.997 0.750
In 0.500 0.750 0.997
Nd 0.000 0.413 0.001
Nd 0.000 0.001 0.413
Pt 0.500 0.664 0.340
Pt 0.500 0.340 0.664

---

No. 13
Entry from OQMD via LeMat-Bulk: a relaxed structure of Dy2InCuNi (PBE).

Output
raw total energy: -4.711 eV/atom
ρ: 8.915 g/cm3
symmetry: Amm2

Cell lengths 3.657, 7.399, 7.399 Å; angles 31.53, 90.00, 90.00 degrees
Atoms (fractional coordinates):
Cu 0.000 0.800 0.800
Dy 0.500 0.363 0.363
Dy 0.500 0.635 0.635
In 0.000 0.002 0.002
Ni 0.000 0.200 0.200

---

No. 14
Entry from OQMD via LeMat-Bulk: a relaxed structure of Tb2DyIn3CuNi2 (PBE).

Output
raw total energy: -4.584 eV/atom
ρ: 9.037 g/cm3
symmetry: Amm2

Cell lengths 3.835, 7.460, 7.460 Å; angles 120.01, 90.00, 90.00 degrees
Atoms (fractional coordinates):
Cu 0.000 0.000 0.000
Dy 0.000 0.413 0.413
In 0.500 0.258 0.000
In 0.500 0.000 0.258
In 0.500 0.742 0.742
Ni 0.500 0.667 0.333
Ni 0.500 0.333 0.667
Tb 0.000 0.587 0.000
Tb 0.000 0.000 0.587

---

No. 15
Entry from OQMD via LeMat-Bulk: a relaxed structure of TbDy2In3CuNi2 (PBE).

Output
raw total energy: -4.581 eV/atom
ρ: 9.132 g/cm3
symmetry: Amm2

Cell lengths 3.826, 7.442, 7.442 Å; angles 119.99, 90.00, 90.00 degrees
Atoms (fractional coordinates):
Cu 0.000 0.000 0.000
Dy 0.000 0.413 0.000
Dy 0.000 0.000 0.413
In 0.500 0.742 0.000
In 0.500 0.258 0.258
In 0.500 0.000 0.742
Ni 0.500 0.667 0.333
Ni 0.500 0.333 0.667
Tb 0.000 0.587 0.587

---

No. 16
Entry from OQMD via LeMat-Bulk: a relaxed structure of DyTm2In3Cu2Ni (PBE).

Output
raw total energy: -4.306 eV/atom
ρ: 9.312 g/cm3
symmetry: Amm2

Cell lengths 3.863, 7.412, 7.412 Å; angles 120.00, 90.00, 90.00 degrees
Atoms (fractional coordinates):
Cu 0.500 0.668 0.332
Cu 0.500 0.332 0.668
Dy 0.000 0.407 0.407
In 0.500 0.999 0.253
In 0.500 0.747 0.747
In 0.500 0.253 0.999
Ni 0.000 0.998 0.998
Tm 0.000 0.594 0.000
Tm 0.000 0.000 0.594

---

No. 17
Entry from OQMD via LeMat-Bulk: a relaxed structure of Dy2YIn3Cu2Ni (PBE).

Output
raw total energy: -4.549 eV/atom
ρ: 8.355 g/cm3
symmetry: Amm2

Cell lengths 3.887, 7.468, 7.468 Å; angles 120.04, 90.00, 90.00 degrees
Atoms (fractional coordinates):
Cu 0.500 0.667 0.332
Cu 0.500 0.332 0.667
Dy 0.000 0.407 0.000
Dy 0.000 0.000 0.407
In 0.500 0.252 0.252
In 0.500 0.000 0.748
In 0.500 0.748 0.000
Ni 0.000 0.001 0.001
Y 0.000 0.593 0.593

---

No. 18
Entry from OQMD via LeMat-Bulk: a relaxed structure of Dy3In3Cu2Pd (PBE).

Output
raw total energy: -4.385 eV/atom
ρ: 9.147 g/cm3
symmetry: P-62m

Cell lengths 7.522, 7.522, 3.948 Å; angles 90.00, 90.00, 120.00 degrees
Atoms (fractional coordinates):
Cu 0.667 0.333 0.000
Cu 0.333 0.667 0.000
Dy 0.591 0.000 0.500
Dy 0.409 0.409 0.500
Dy 0.000 0.591 0.500
In 0.261 0.000 0.000
In 0.000 0.261 0.000
In 0.739 0.739 0.000
Pd 0.000 0.000 0.500

---

No. 19
Entry from OQMD via LeMat-Bulk: a relaxed structure of Dy3In3CuPd2 (PBE).

Output
raw total energy: -4.713 eV/atom
ρ: 9.433 g/cm3
symmetry: P-62m

Cell lengths 7.647, 7.647, 3.852 Å; angles 90.00, 90.00, 120.00 degrees
Atoms (fractional coordinates):
Cu 0.000 0.000 0.000
Dy 0.590 0.000 0.000
Dy 0.410 0.410 0.000
Dy 0.000 0.590 0.000
In 0.252 0.000 0.500
In 0.000 0.252 0.500
In 0.748 0.748 0.500
Pd 0.667 0.333 0.500
Pd 0.333 0.667 0.500

---

No. 20
Entry from OQMD via LeMat-Bulk: a relaxed structure of Dy3In3CuPt2 (PBE).

Output
raw total energy: -5.045 eV/atom
ρ: 10.997 g/cm3
symmetry: P-62m

Cell lengths 7.657, 7.657, 3.824 Å; angles 90.00, 90.00, 120.00 degrees
Atoms (fractional coordinates):
Cu 0.000 0.000 0.000
Dy 0.588 0.000 0.000
Dy 0.412 0.412 0.000
Dy 0.000 0.588 0.000
In 0.251 0.000 0.500
In 0.000 0.251 0.500
In 0.749 0.749 0.500
Pt 0.667 0.333 0.500
Pt 0.333 0.667 0.500

---

No. 21
Entry from OQMD via LeMat-Bulk: a relaxed structure of Dy3In3Cu2Pt (PBE).

Output
raw total energy: -4.526 eV/atom
ρ: 9.887 g/cm3
symmetry: P-62m

Cell lengths 7.524, 7.524, 3.954 Å; angles 90.00, 90.00, 120.00 degrees
Atoms (fractional coordinates):
Cu 0.667 0.333 0.500
Cu 0.333 0.667 0.500
Dy 0.596 0.000 0.000
Dy 0.404 0.404 0.000
Dy 0.000 0.596 0.000
In 0.264 0.000 0.500
In 0.000 0.264 0.500
In 0.736 0.736 0.500
Pt 0.000 0.000 0.000

---

No. 22
Entry from OQMD via LeMat-Bulk: a relaxed structure of TbDy2In3Cu2Pt (PBE).

Output
raw total energy: -4.529 eV/atom
ρ: 9.773 g/cm3
symmetry: Amm2

Cell lengths 3.974, 7.537, 7.537 Å; angles 119.99, 90.00, 90.00 degrees
Atoms (fractional coordinates):
Cu 0.500 0.667 0.333
Cu 0.500 0.333 0.667
Dy 0.000 0.000 0.404
Dy 0.000 0.404 0.000
In 0.500 0.736 0.000
In 0.500 0.264 0.264
In 0.500 0.000 0.736
Pt 0.000 0.001 0.001
Tb 0.000 0.595 0.595

---

No. 23
Entry from OQMD via LeMat-Bulk: a relaxed structure of Tb2DyIn3CuPt2 (PBE).

Output
raw total energy: -5.050 eV/atom
ρ: 10.857 g/cm3
symmetry: Amm2

Cell lengths 3.767, 7.740, 7.740 Å; angles 119.96, 90.00, 90.00 degrees
Atoms (fractional coordinates):
Cu 0.000 0.000 0.000
Dy 0.000 0.411 0.411
In 0.500 0.255 0.000
In 0.500 0.000 0.255
In 0.500 0.745 0.745
Pt 0.500 0.666 0.334
Pt 0.500 0.334 0.666
Tb 0.000 0.589 0.000
Tb 0.000 0.000 0.589

---

no.,total magnetization (μB/atom)
1,0.0003
2,0.0003
3,0.0001
4,0.0002
5,0.0547
6,0.0402
7,0.0026
8,0.0012
9,0.0015
10,0.0003
11,0.0006
12,0.0006
13,0.0005
14,0.0006
15,0.0016
16,0.0003
17,0.0002
18,0.0004
19,0.0011
20,0.0005
21,0.0005
22,0.0003
23,0.0004